Record 1
This record from the Alexandria database describes crystalline Ti4CoTc at its relaxed geometry. The functional is GGA-PBE.

As for the crystal system: tetragonal. The calculation puts the formation energy from the elements at -1.8 eV per formula unit. The theoretical density is 6.43 g/cm³. For the spin magnetization, the calculation gives 0.001 μB per cell.

The structure belongs to space group P4/mmm (No. 123); the cell edges are 3.0814, 3.0814 and 9.4745 Å and the angles 90.00°, 90.00° and 90.00°. Symmetry generates all atoms from Ti at (0.0000, 0.0000, 0.1507), Ti at (0.5000, 0.5000, 0.3416), Co at (0.5000, 0.5000, 0.0000) and Tc at (0.0000, 0.0000, 0.5000).

=====

Record 2
This record from the Alexandria database describes crystalline Ti3CoTc at its relaxed geometry. The functional is GGA-PBE.

As for the crystal system: cubic. The calculation puts the formation energy from the elements at 2.2 eV per formula unit. The theoretical density is 5.87 g/cm³. For the spin magnetization, the calculation gives 0.000 μB per cell.

The structure belongs to space group Pm-3m (No. 221); the cell edges are 4.3983, 4.3983 and 4.3983 Å and the angles 90.00°, 90.00° and 90.00°. Symmetry generates all atoms from Ti at (0.0000, 0.0000, 0.5000), Co at (0.0000, 0.0000, 0.0000) and Tc at (0.5000, 0.5000, 0.5000).

=====

Record 3
This record from the Alexandria database describes crystalline Ti2Co2Tc at its relaxed geometry. The functional is GGA-PBE.

As for the crystal system: tetragonal. The calculation puts the formation energy from the elements at -0.9 eV per formula unit. The theoretical density is 7.69 g/cm³. For the spin magnetization, the calculation gives 0.000 μB per cell.

The structure belongs to space group P4/mbm (No. 127); the cell edges are 6.8802, 6.8802 and 2.8446 Å and the angles 90.00°, 90.00° and 90.00°. Symmetry generates all atoms from Ti at (0.1716, 0.3284, 0.0000), Co at (0.1273, 0.6273, 0.5000) and Tc at (0.0000, 0.0000, 0.5000).

=====

Record 4
This record from the Alexandria database describes crystalline Ti2Co2Tc at its relaxed geometry. The functional is GGA-PBE.

As for the crystal system: tetragonal. The calculation puts the formation energy from the elements at -0.8 eV per formula unit. The theoretical density is 7.69 g/cm³. For the spin magnetization, the calculation gives 0.000 μB per cell.

The structure belongs to space group P4/mbm (No. 127); the cell edges are 6.9717, 6.9717 and 2.7692 Å and the angles 90.00°, 90.00° and 90.00°. Symmetry generates all atoms from Ti at (0.1560, 0.3440, 0.0000), Co at (0.1439, 0.6439, 0.5000) and Tc at (0.0000, 0.0000, 0.0000).

=====

Record 5
This record from the Alexandria database describes crystalline Ti5Co4Tc at its relaxed geometry. The functional is GGA-PBE.

As for the crystal system: tetragonal. The calculation puts the formation energy from the elements at -4.3 eV per formula unit. The theoretical density is 7.06 g/cm³. For the spin magnetization, the calculation gives 0.000 μB per cell.

The structure belongs to space group P4/mmm (No. 123); the cell edges are 3.0396, 3.0396 and 14.5992 Å and the angles 90.00°, 90.00° and 90.00°. Symmetry generates all atoms from Ti at (0.0000, 0.0000, 0.0000), Ti at (0.0000, 0.0000, 0.1964), Ti at (0.0000, 0.0000, 0.3962), Co at (0.5000, 0.5000, 0.0977), Co at (0.5000, 0.5000, 0.2922) and Tc at (0.5000, 0.5000, 0.5000).

=====

Record 6
This record from the Alexandria database describes crystalline Ti3Co2Tc at its relaxed geometry. The functional is GGA-PBE.

As for the crystal system: tetragonal. The calculation puts the formation energy from the elements at -2.8 eV per formula unit. The theoretical density is 7.22 g/cm³. For the spin magnetization, the calculation gives 0.002 μB per cell.

The structure belongs to space group P4/mmm (No. 123); the cell edges are 3.0505, 3.0505 and 8.8814 Å and the angles 90.00°, 90.00° and 90.00°. Symmetry generates all atoms from Ti at (0.0000, 0.0000, 0.0000), Ti at (0.0000, 0.0000, 0.3298), Co at (0.5000, 0.5000, 0.1582) and Tc at (0.5000, 0.5000, 0.5000).

=====

Record 7
This record from the Alexandria database describes crystalline TiCoTc3 at its relaxed geometry. The functional is GGA-PBE.

As for the crystal system: cubic. The calculation puts the formation energy from the elements at 8.2 eV per formula unit. The theoretical density is 7.64 g/cm³. For the spin magnetization, the calculation gives 0.000 μB per cell.

The structure belongs to space group Pm-3m (No. 221); the cell edges are 4.4327, 4.4327 and 4.4327 Å and the angles 90.00°, 90.00° and 90.00°. Symmetry generates all atoms from Ti at (0.0000, 0.0000, 0.0000), Co at (0.5000, 0.5000, 0.5000) and Tc at (0.0000, 0.0000, 0.5000).

=====

Record 8
This record from the Alexandria database describes crystalline Ti4CoTc2 at its relaxed geometry. The functional is GGA-PBE.

As for the crystal system: tetragonal. The calculation puts the formation energy from the elements at -1.7 eV per formula unit. The theoretical density is 6.66 g/cm³. For the spin magnetization, the calculation gives 0.000 μB per cell.

The structure belongs to space group I4/mmm (No. 139); the cell edges are 5.9941, 5.9941 and 6.1940 Å and the angles 90.00°, 90.00° and 90.00°. Symmetry generates all atoms from Ti at (0.2500, 0.2500, 0.2500), Co at (0.0000, 0.0000, 0.0000) and Tc at (0.0000, 0.5000, 0.0000).

=====

Record 9
This record from the Alexandria database describes crystalline Ti4CoTc at its relaxed geometry. The functional is GGA-PBE.

As for the crystal system: trigonal. The calculation puts the formation energy from the elements at 0.2 eV per formula unit. The theoretical density is 5.58 g/cm³. For the spin magnetization, the calculation gives 0.001 μB per cell.

The structure belongs to space group R-3m (No. 166, hexagonal axes); the cell edges are 4.3769, 4.3769 and 18.7433 Å and the angles 90.00°, 90.00° and 120.00°. Symmetry generates all atoms from Ti at (0.0000, 0.0000, 0.1214), Ti at (0.0000, 0.0000, 0.3708), Co at (0.0000, 0.0000, 0.0000) and Tc at (0.0000, 0.0000, 0.5000).

=====

Record 10
This record from the Alexandria database describes crystalline Ti6CoTc at its relaxed geometry. The functional is GGA-PBE.

As for the crystal system: monoclinic. The calculation puts the formation energy from the elements at 0.8 eV per formula unit. The theoretical density is 5.52 g/cm³. For the spin magnetization, the calculation gives 2.743 μB per cell.

The structure belongs to space group C2/m (No. 12); the cell edges are 5.6017, 9.5111 and 5.6344 Å and the angles 90.00°, 117.14° and 90.00°. Symmetry generates all atoms from Ti at (0.2305, 0.2078, 0.2496), Ti at (0.2408, 0.0000, 0.7674), Co at (0.0000, 0.0000, 0.0000) and Tc at (0.0000, 0.5000, 0.5000).

=====

Record 11
This record from the Alexandria database describes crystalline TiTlCo2Tc at its relaxed geometry. The functional is GGA-PBE.

As for the crystal system: tetragonal. The calculation puts the formation energy from the elements at 4.9 eV per formula unit. The theoretical density is 8.13 g/cm³. For the spin magnetization, the calculation gives 2.350 μB per cell.

The structure belongs to space group P4/mmm (No. 123); the cell edges are 4.5533, 4.5533 and 4.6105 Å and the angles 90.00°, 90.00° and 90.00°. Symmetry generates all atoms from Ti at (0.0000, 0.0000, 0.0000), Tl at (0.5000, 0.5000, 0.0000), Co at (0.0000, 0.5000, 0.5000) and Tc at (0.0000, 0.0000, 0.5000).

=====

Record 12
This record from the Alexandria database describes crystalline TmTiCoTc at its relaxed geometry. The functional is GGA-PBE.

As for the crystal system: cubic. The calculation puts the formation energy from the elements at -0.8 eV per formula unit. The theoretical density is 9.64 g/cm³. For the spin magnetization, the calculation gives 0.002 μB per cell.

The structure belongs to space group F-43m (No. 216); the cell edges are 6.3613, 6.3613 and 6.3613 Å and the angles 90.00°, 90.00° and 90.00°. Symmetry generates all atoms from Tm at (0.0000, 0.0000, 0.0000), Ti at (0.0000, 0.0000, 0.5000), Co at (0.2500, 0.2500, 0.2500) and Tc at (0.2500, 0.2500, 0.7500).